(1)
Here is a relaxed Tb2SiB2Ir5 crystal from Alexandria. Energies are from GGA-PBE.

POSCAR file:
```
Tb2SiB2Ir5
1.0
9.449 0.000 0.000
0.000 9.449 0.000
0.000 0.000 3.235
Tb Si B Ir
4 2 4 10
direct
0.177 0.323 0.000
0.323 0.823 0.000
0.677 0.177 0.000
0.823 0.677 0.000
0.000 0.000 0.000
0.500 0.500 0.000
0.122 0.622 0.000
0.378 0.122 0.000
0.622 0.878 0.000
0.878 0.378 0.000
0.000 0.500 0.500
0.068 0.785 0.500
0.215 0.068 0.500
0.285 0.568 0.500
0.432 0.285 0.500
0.500 0.000 0.500
0.568 0.715 0.500
0.715 0.432 0.500
0.785 0.932 0.500
0.932 0.215 0.500
```

Results
ΔE_f (raw): -721 meV/atom
Crystal system: tetragonal


(2)
Here is a relaxed TbSiBIr2 crystal from Alexandria. Energies are from GGA-PBE.

POSCAR file:
```
TbSiBIr2
1.0
1.970 -5.626 0.000
1.970 5.626 0.000
0.000 0.000 7.176
Tb Si B Ir
2 2 2 4
direct
0.051 0.949 0.750
0.949 0.051 0.250
0.229 0.771 0.250
0.771 0.229 0.750
0.500 0.500 0.000
0.500 0.500 0.500
0.332 0.668 0.555
0.332 0.668 0.945
0.668 0.332 0.055
0.668 0.332 0.445
```

Results
ΔE_f (raw): -869 meV/atom
Crystal system: orthorhombic


It is found that the calculated total energy values, taken in the order of the records, are -7.955; -7.759 eV per atom.